Here is an optimized crystal structure of BaAgIBr2 from the Alexandria database. Energies are from PBE-GGA.

The value obtained for the density of states at the Fermi level is 0.0 states/eV/cell. Its total energy is -3.230 eV/atom. The calculation puts the uncorrected formation energy at -1.296 eV/atom.

Cell: 7.938 5.741 9.745 Å, 90.00 97.97 90.00°
Sites, in units of the cell vectors:
Ba  0.237  0.250  0.371
Ba  0.763  0.750  0.629
Ag  0.396  0.250  0.852
Ag  0.604  0.750  0.148
I  0.065  0.250  0.695
I  0.935  0.750  0.305
Br  0.427  0.750  0.389
Br  0.481  0.250  0.130
Br  0.519  0.750  0.870
Br  0.573  0.250  0.611